# 1
An optimized crystal structure of Cs2KPb. Source: Alexandria via LeMat-Bulk, functional PBE-GGA.

Values from the calculation:
- V: 56.48 Å³/atom
- Formation enthalpy at 0 K: 0.027 eV per atom

Cell: 6.836 6.836 6.836 Å, 60.00 60.00 60.00°
Element x y z (fractional)
Cs (0.250, 0.250, 0.250)
K (0.000, 0.000, 0.000)
Cs (0.750, 0.750, 0.750)
Pb (0.500, 0.500, 0.500)

# 2
An optimized crystal structure of Cs12K7Pb. Source: Alexandria via LeMat-Bulk, functional PBE-GGA.

Values from the calculation:
- V: 88.57 Å³/atom
- Formation enthalpy at 0 K: 0.009 eV per atom

Cell: 15.128 12.675 12.675 Å, 74.78 66.56 113.44°
Element x y z (fractional)
K (0.061, 0.362, 0.015)
Cs (0.073, 0.760, 0.224)
Cs (0.487, 0.733, 0.745)
K (0.301, 0.377, 0.638)
Cs (0.513, 0.267, 0.255)
K (0.500, 0.000, 0.000)
Pb (0.000, 0.000, 0.000)
Cs (0.754, 0.522, 0.733)
Cs (0.246, 0.478, 0.267)
K (0.924, 0.985, 0.377)
Cs (0.297, 0.224, 0.016)
K (0.699, 0.623, 0.362)
Cs (0.703, 0.776, 0.984)
Cs (0.687, 0.984, 0.240)
K (0.939, 0.638, 0.985)
Cs (0.768, 0.255, 0.478)
Cs (0.313, 0.016, 0.760)
K (0.076, 0.015, 0.623)
Cs (0.232, 0.745, 0.522)
Cs (0.927, 0.240, 0.776)

# 3
An optimized crystal structure of Cs3KPb. Source: Alexandria via LeMat-Bulk, functional PBE-GGA.

Values from the calculation:
- V: 91.47 Å³/atom
- Formation enthalpy at 0 K: 0.067 eV per atom

Cell: 7.705 7.705 7.705 Å, 90.00 90.00 90.00°
Element x y z (fractional)
K (0.500, 0.500, 0.500)
Cs (0.000, 0.000, 0.500)
Cs (0.500, 0.000, 0.000)
Pb (0.000, 0.000, 0.000)
Cs (0.000, 0.500, 0.000)

# 4
An optimized crystal structure of CsK6Pb6. Source: Alexandria via LeMat-Bulk, functional PBE-GGA.

Values from the calculation:
- V: 41.62 Å³/atom
- Formation enthalpy at 0 K: -0.077 eV per atom

Cell: 7.218 9.385 9.385 Å, 83.95 67.38 67.38°
Element x y z (fractional)
K (0.000, 0.327, 0.673)
K (0.317, 0.183, 0.183)
Pb (0.000, 0.500, 0.000)
K (0.341, 0.659, 0.659)
K (0.683, 0.817, 0.817)
Pb (0.500, 0.237, 0.763)
Pb (0.500, 0.763, 0.237)
Pb (0.500, 0.500, 0.000)
K (0.000, 0.673, 0.327)
K (0.659, 0.341, 0.341)
Cs (0.000, 0.000, 0.000)
Pb (0.000, 0.000, 0.500)
Pb (0.500, 0.000, 0.500)

# 5
An optimized crystal structure of Cs2KPb2. Source: Alexandria via LeMat-Bulk, functional PBE-GGA.

Values from the calculation:
- V: 57.07 Å³/atom
- Formation enthalpy at 0 K: -0.023 eV per atom

Cell: 5.965 5.965 9.061 Å, 70.78 70.78 90.00°
Element x y z (fractional)
Cs (0.250, 0.750, 0.500)
Pb (0.412, 0.412, 0.176)
Pb (0.588, 0.588, 0.824)
Cs (0.750, 0.250, 0.500)
K (0.000, 0.000, 0.000)

# 6
An optimized crystal structure of Cs2K3Pb2. Source: Alexandria via LeMat-Bulk, functional PBE-GGA.

Values from the calculation:
- V: 56.61 Å³/atom
- Formation enthalpy at 0 K: -0.073 eV per atom

Cell: 6.425 7.971 9.352 Å, 68.21 69.91 66.23°
Element x y z (fractional)
Pb (0.897, 0.033, 0.173)
Pb (0.103, 0.967, 0.827)
K (0.648, 0.157, 0.547)
Cs (0.840, 0.523, 0.797)
K (0.352, 0.843, 0.453)
K (0.500, 0.000, 0.000)
Cs (0.160, 0.477, 0.203)

# 7
An optimized crystal structure of Cs4K4Pb. Source: Alexandria via LeMat-Bulk, functional PBE-GGA.

Values from the calculation:
- V: 81.75 Å³/atom
- Formation enthalpy at 0 K: 0.005 eV per atom

Cell: 9.369 12.532 12.532 Å, 90.00 90.00 90.00°
Element x y z (fractional)
Cs (0.821, 0.446, 0.290)
K (0.639, 0.232, 0.557)
K (0.639, 0.768, 0.443)
Cs (0.321, 0.790, 0.054)
Pb (0.000, 0.000, 0.000)
Cs (0.679, 0.054, 0.210)
Cs (0.321, 0.210, 0.946)
K (0.861, 0.732, 0.057)
Cs (0.679, 0.946, 0.790)
K (0.361, 0.557, 0.768)
K (0.361, 0.443, 0.232)
Cs (0.179, 0.710, 0.446)
Pb (0.500, 0.500, 0.500)
K (0.139, 0.943, 0.732)
K (0.139, 0.057, 0.268)
Cs (0.821, 0.554, 0.710)
Cs (0.179, 0.290, 0.554)
K (0.861, 0.268, 0.943)

# 8
An optimized crystal structure of CsK3Pb2. Source: Alexandria via LeMat-Bulk, functional PBE-GGA.

Values from the calculation:
- V: 55.30 Å³/atom
- Formation enthalpy at 0 K: -0.014 eV per atom

Cell: 11.231 11.231 6.260 Å, 90.00 90.00 122.82°
Element x y z (fractional)
Pb (0.841, 0.159, 0.500)
Cs (0.325, 0.325, 0.250)
Pb (0.159, 0.841, 0.500)
K (0.867, 0.480, 0.250)
K (0.106, 0.106, 0.750)
K (0.520, 0.133, 0.750)
K (0.480, 0.867, 0.250)
K (0.894, 0.894, 0.250)
K (0.133, 0.520, 0.750)
Pb (0.159, 0.841, 0.000)
Pb (0.841, 0.159, 0.000)
Cs (0.675, 0.675, 0.750)

# 9
An optimized crystal structure of Cs3KPb. Source: Alexandria via LeMat-Bulk, functional PBE-GGA.

Values from the calculation:
- V: 92.67 Å³/atom
- Formation enthalpy at 0 K: 0.441 eV per atom

Cell: 7.738 7.738 7.738 Å, 90.00 90.00 90.00°
Element x y z (fractional)
Cs (0.000, 0.500, 0.000)
K (0.000, 0.000, 0.000)
Pb (0.500, 0.500, 0.500)
Cs (0.000, 0.000, 0.500)
Cs (0.500, 0.000, 0.000)

# 10
An optimized crystal structure of CsK2Pb. Source: Alexandria via LeMat-Bulk, functional PBE-GGA.

Values from the calculation:
- V: 60.50 Å³/atom
- Formation enthalpy at 0 K: -0.064 eV per atom

Cell: 7.720 11.201 12.989 Å, 120.47 90.00 90.00°
Element x y z (fractional)
K (0.118, 0.857, 0.791)
K (0.600, 0.768, 0.917)
K (0.100, 0.732, 0.083)
Pb (0.414, 0.542, 0.615)
K (0.382, 0.357, 0.791)
Cs (0.417, 0.107, 0.391)
K (0.900, 0.268, 0.917)
Pb (0.586, 0.458, 0.385)
Pb (0.914, 0.958, 0.385)
K (0.618, 0.643, 0.209)
Cs (0.917, 0.393, 0.609)
Pb (0.086, 0.042, 0.615)
Cs (0.083, 0.607, 0.391)
K (0.882, 0.143, 0.209)
K (0.400, 0.232, 0.083)
Cs (0.583, 0.893, 0.609)

# 11
An optimized crystal structure of Cs3K12Pb. Source: Alexandria via LeMat-Bulk, functional PBE-GGA.

Values from the calculation:
- V: 70.71 Å³/atom
- Formation enthalpy at 0 K: 0.001 eV per atom

Cell: 6.738 6.738 24.918 Å, 90.00 90.00 90.00°
Element x y z (fractional)
K (0.500, 0.000, 0.085)
K (0.000, 0.500, 0.359)
K (0.500, 0.000, 0.641)
K (0.500, 0.000, 0.359)
K (0.500, 0.000, 0.915)
Cs (0.000, 0.000, 0.500)
K (0.000, 0.500, 0.915)
K (0.500, 0.500, 0.774)
K (0.000, 0.500, 0.085)
K (0.500, 0.500, 0.000)
Cs (0.000, 0.000, 0.788)
K (0.000, 0.500, 0.641)
Cs (0.000, 0.000, 0.212)
K (0.500, 0.500, 0.226)
K (0.500, 0.500, 0.500)
Pb (0.000, 0.000, 0.000)

# 12
An optimized crystal structure of CsKPb2. Source: Alexandria via LeMat-Bulk, functional PBE-GGA.

Values from the calculation:
- V: 42.19 Å³/atom
- Formation enthalpy at 0 K: 0.108 eV per atom

Cell: 6.203 6.203 6.203 Å, 60.00 60.00 60.00°
Element x y z (fractional)
Pb (0.750, 0.750, 0.750)
Pb (0.250, 0.250, 0.250)
Cs (0.500, 0.500, 0.500)
K (0.000, 0.000, 0.000)

# 13
An optimized crystal structure of Cs3K3Pb2. Source: Alexandria via LeMat-Bulk, functional PBE-GGA.

Values from the calculation:
- V: 69.42 Å³/atom
- Formation enthalpy at 0 K: -0.071 eV per atom

Cell: 4.984 8.103 14.737 Å, 71.39 80.39 89.92°
Element x y z (fractional)
K (0.644, 0.983, 0.715)
K (0.500, 0.500, 0.000)
Cs (0.182, 0.536, 0.640)
Cs (0.818, 0.464, 0.360)
K (0.356, 0.017, 0.285)
Cs (0.000, 0.000, 0.000)
Pb (0.240, 0.104, 0.519)
Pb (0.760, 0.896, 0.481)

# 14
An optimized crystal structure of CsKPdPb2. Source: Alexandria via LeMat-Bulk, functional PBE-GGA.

Values from the calculation:
- V: 34.85 Å³/atom
- Formation enthalpy at 0 K: -0.051 eV per atom

Cell: 5.386 5.386 6.008 Å, 90.00 90.00 90.00°
Element x y z (fractional)
Pb (0.000, 0.500, 0.000)
Pb (0.500, 0.000, 0.000)
Cs (0.500, 0.500, 0.500)
K (0.000, 0.000, 0.500)
Pd (0.000, 0.000, 0.000)

# 15
An optimized crystal structure of CsK2PdPb. Source: Alexandria via LeMat-Bulk, functional PBE-GGA.

Values from the calculation:
- V: 43.71 Å³/atom
- Formation enthalpy at 0 K: -0.077 eV per atom

Cell: 6.365 6.365 5.395 Å, 90.00 90.00 90.00°
Element x y z (fractional)
Pd (0.000, 0.000, 0.000)
K (0.500, 0.000, 0.000)
Cs (0.500, 0.500, 0.500)
K (0.000, 0.500, 0.000)
Pb (0.000, 0.000, 0.500)

# 16
An optimized crystal structure of CsKPtPb2. Source: Alexandria via LeMat-Bulk, functional PBE-GGA.

Values from the calculation:
- V: 37.99 Å³/atom
- Formation enthalpy at 0 K: -0.064 eV per atom

Cell: 5.504 5.504 6.269 Å, 90.00 90.00 90.00°
Element x y z (fractional)
K (0.000, 0.000, 0.500)
Cs (0.500, 0.500, 0.500)
Pb (0.500, 0.000, 0.000)
Pt (0.000, 0.000, 0.000)
Pb (0.000, 0.500, 0.000)

# 17
An optimized crystal structure of CsK2RbPb. Source: Alexandria via LeMat-Bulk, functional PBE-GGA.

Values from the calculation:
- V: 74.96 Å³/atom
- Formation enthalpy at 0 K: 0.038 eV per atom

Cell: 7.131 7.131 7.370 Å, 90.00 90.00 90.00°
Element x y z (fractional)
Cs (0.000, 0.000, 0.500)
Pb (0.000, 0.000, 0.000)
K (0.500, 0.000, 0.000)
Rb (0.500, 0.500, 0.500)
K (0.000, 0.500, 0.000)

# 18
An optimized crystal structure of CsK2RbPb. Source: Alexandria via LeMat-Bulk, functional PBE-GGA.

Values from the calculation:
- V: 73.05 Å³/atom
- Formation enthalpy at 0 K: 0.002 eV per atom

Cell: 7.088 7.088 7.271 Å, 90.00 90.00 90.00°
Element x y z (fractional)
Cs (0.500, 0.500, 0.500)
Pb (0.000, 0.000, 0.000)
K (0.500, 0.000, 0.000)
K (0.000, 0.500, 0.000)
Rb (0.000, 0.000, 0.500)

# 19
An optimized crystal structure of CsKPbS2. Source: Alexandria via LeMat-Bulk, functional PBE-GGA.

Values from the calculation:
- V: 41.81 Å³/atom
- ΔE_f (raw): -855 meV per atom

Cell: 4.621 8.714 11.002 Å, 101.37 90.00 105.37°
Element x y z (fractional)
K (0.334, 0.669, 0.938)
S (0.563, 0.126, 0.302)
S (0.437, 0.874, 0.698)
Cs (0.371, 0.741, 0.375)
S (0.146, 0.291, 0.856)
K (0.666, 0.331, 0.062)
Cs (0.629, 0.259, 0.625)
Pb (0.988, 0.976, 0.834)
S (0.854, 0.709, 0.144)
Pb (0.012, 0.024, 0.166)

# 20
An optimized crystal structure of CsK2Sb2Pb2. Source: Alexandria via LeMat-Bulk, functional PBE-GGA.

Values from the calculation:
- V: 50.73 Å³/atom
- ΔE_f (raw): -299 meV per atom

Cell: 4.608 7.506 15.189 Å, 132.07 90.00 107.88°
Element x y z (fractional)
K (0.920, 0.840, 0.628)
Pb (0.373, 0.745, 0.350)
Sb (0.706, 0.413, 0.296)
Sb (0.294, 0.587, 0.704)
Pb (0.627, 0.255, 0.650)
Cs (0.000, 0.000, 0.000)
K (0.080, 0.160, 0.372)

# 21
An optimized crystal structure of Cs2KSb2Pb. Source: Alexandria via LeMat-Bulk, functional PBE-GGA.

Values from the calculation:
- V: 46.36 Å³/atom
- ΔE_f (raw): -386 meV per atom

Cell: 8.123 7.756 10.465 Å, 111.75 112.84 90.00°
Element x y z (fractional)
Pb (0.500, 0.250, 0.000)
Pb (0.500, 0.750, 0.000)
K (0.000, 0.250, 0.000)
Cs (0.571, 0.826, 0.652)
Sb (0.392, 0.602, 0.204)
Sb (0.811, 0.102, 0.204)
Sb (0.189, 0.898, 0.796)
Sb (0.608, 0.398, 0.796)
Cs (0.429, 0.174, 0.348)
Cs (0.081, 0.326, 0.652)
Cs (0.919, 0.674, 0.348)
K (0.000, 0.750, 0.000)

# 22
An optimized crystal structure of CsKSbPb. Source: Alexandria via LeMat-Bulk, functional PBE-GGA.

Values from the calculation:
- V: 48.41 Å³/atom
- ΔE_f (raw): -297 meV per atom

Cell: 4.648 6.737 7.629 Å, 61.75 90.00 110.18°
Element x y z (fractional)
Pb (0.802, 0.603, 0.524)
Cs (0.986, 0.972, 0.834)
Sb (0.289, 0.577, 0.289)
K (0.586, 0.173, 0.252)

# 23
An optimized crystal structure of CsKScPb2. Source: Alexandria via LeMat-Bulk, functional PBE-GGA.

Values from the calculation:
- V: 42.59 Å³/atom
- Formation enthalpy at 0 K: 0.083 eV per atom

Cell: 5.749 6.443 5.749 Å, 90.00 90.00 90.00°
Element x y z (fractional)
Pb (0.500, 0.000, 0.000)
Sc (0.000, 0.000, 0.000)
Cs (0.000, 0.500, 0.000)
K (0.500, 0.500, 0.500)
Pb (0.000, 0.000, 0.500)

# 24
An optimized crystal structure of Cs4K2SnPb2. Source: Alexandria via LeMat-Bulk, functional PBE-GGA.

Values from the calculation:
- V: 59.69 Å³/atom
- Formation enthalpy at 0 K: -0.060 eV per atom

Cell: 6.252 9.541 9.541 Å, 75.52 79.84 79.84°
Element x y z (fractional)
Cs (0.811, 0.913, 0.347)
Cs (0.189, 0.087, 0.653)
Pb (0.706, 0.810, 0.810)
Cs (0.189, 0.653, 0.087)
K (0.297, 0.639, 0.639)
Cs (0.811, 0.347, 0.913)
Pb (0.294, 0.190, 0.190)
K (0.703, 0.361, 0.361)
Sn (0.500, 0.000, 0.000)